# BaCa2Br, relaxed, DFT PBE
data_BaCa2Br
_chemical_formula_sum 'Ba2 Ca4 Br2'
_cell_length_a 9.9827
_cell_length_b 9.9827
_cell_length_c 7.8989
_cell_angle_alpha 50.81
_cell_angle_beta 50.81
_cell_angle_gamma 90.00
_symmetry_space_group_name_H-M 'P 1'
_symmetry_Int_Tables_number 1
loop_
_symmetry_equiv_pos_as_xyz
'x,y,z'
loop_
_atom_site_label
_atom_site_type_symbol
_atom_site_fract_x
_atom_site_fract_y
_atom_site_fract_z
_atom_site_occupancy
Ca1 Ca 0.2098 0.6250 0.2500 1
Ca2 Ca 0.5402 0.1250 0.2500 1
Ca3 Ca 0.8750 0.7902 0.7500 1
Ba1 Ba 0.7500 0.2500 0.5000 1
Ba2 Ba 0.0000 0.0000 0.0000 1
Br1 Br 0.2500 0.7500 0.5000 1
Br2 Br 0.5000 0.5000 0.0000 1
Ca4 Ca 0.3750 0.4598 0.7500 1
# Uncorrected energy, eV/atom: -2.4052
# Calculated volume, Å³ per cell: 353
# SG: No. 122
# Formation energy (no corrections), eV per atom: -0.51
# Calculated density, g cm⁻³: 2.8
# Total moment, Bohr magnetons per cell: 0.00